VASP calculation (PBE+U) on a relaxed structure of YMg6FeO8.

Lattice parameters (Å, degrees): 4.413 4.413 8.848 90.00 90.00 90.00
Site moments in Bohr magnetons follow the coordinates.
Fractional positions:
Mg 0.000 0.500 0.737  0.00
O 0.000 0.500 0.000  0.04
Mg 0.000 0.500 0.263  0.00
Y 0.000 0.000 0.000  -0.12
O 0.500 0.000 0.500  0.00
O 0.000 0.500 0.500  0.00
Mg 0.500 0.500 0.500  0.00
Mg 0.500 0.000 0.263  0.00
O 0.500 0.500 0.262  0.02
Mg 0.500 0.000 0.737  0.00
O 0.500 0.000 0.000  0.04
O 0.000 0.000 0.737  0.00
O 0.500 0.500 0.738  0.02
Mg 0.000 0.000 0.500  0.00
Fe 0.500 0.500 0.000  3.46
O 0.000 0.000 0.263  0.00

Summary:
Size of the total moment in Bohr magnetons per cell: 3.39
Calculated total energy in eV per atom: -6.277
Polymorph energy (0 for the lowest one) in meV per atom: 0
Fermi-level density of states in states/eV per cell: 3.136